An optimized crystal structure of ScPAu, computed with GGA-PBE.

```
data_ScPAu
_chemical_formula_sum 'Sc2 P2 Au2'
_cell_length_a 3.7373
_cell_length_b 3.7373
_cell_length_c 9.8961
_cell_angle_alpha 90.00
_cell_angle_beta 90.00
_cell_angle_gamma 120.00
_space_group_name_H-M_alt 'P -6 m 2'
_space_group_IT_number 187
_space_group_name_Hall 'P -6 2'
loop_
_atom_site_label
_atom_site_fract_x
_atom_site_fract_y
_atom_site_fract_z
Sc1 0.0000 0.0000 0.1637
P1 0.6667 0.3333 0.0000
P2 0.6667 0.3333 0.5000
Au1 0.3333 0.6667 0.3505
```

Results
Formation energy from the elements = -0.585 eV per atom
M_tot = 0.0 Bohr magnetons per cell
N(E_F) = 0.43 states/eV/atom

---

An optimized crystal structure of LiTl2CuTe2, computed with GGA-PBE.

```
data_LiTl2CuTe2
_chemical_formula_sum 'Li4 Tl8 Cu4 Te8'
_cell_length_a 6.622
_cell_length_b 15.411
_cell_length_c 6.634
_cell_angle_alpha 90.00
_cell_angle_beta 90.00
_cell_angle_gamma 90.00
_space_group_name_H-M_alt 'I b a m'
_space_group_IT_number 72
_space_group_name_Hall '-I 2 2c'
loop_
_atom_site_label
_atom_site_fract_x
_atom_site_fract_y
_atom_site_fract_z
Li1 0.000 0.000 0.250
Tl1 0.247 0.335 0.000
Cu1 0.000 0.500 0.250
Te1 0.236 0.403 0.500
```

Results
Calculated total energy = -3.2349 eV/atom
M_tot = 0.0 Bohr magnetons per cell

---

An optimized crystal structure of TlCrInTe3, computed with GGA-PBE.

```
data_TlCrInTe3
_chemical_formula_sum 'Tl2 Cr2 In2 Te6'
_cell_length_a 8.681
_cell_length_b 4.192
_cell_length_c 11.370
_cell_angle_alpha 90.00
_cell_angle_beta 106.73
_cell_angle_gamma 90.00
_space_group_name_H-M_alt 'P 1 21/m 1'
_space_group_IT_number 11
_space_group_name_Hall '-P 2yb'
loop_
_atom_site_label
_atom_site_fract_x
_atom_site_fract_y
_atom_site_fract_z
Tl1 0.207 0.250 0.219
Cr1 0.332 0.750 0.878
In1 0.025 0.250 0.633
Te1 0.131 0.250 0.904
Te2 0.255 0.750 0.614
Te3 0.460 0.750 0.127
```

Results
Calculated total energy = -4.2121 eV/atom
M_tot = 5.9 Bohr magnetons per cell
N(E_F) = 0.27 states/eV/atom